[1]
Material: CePm6Dy
Method: DFT, PBE-GGA
State: relaxed

Results
DFT formation energy in eV per formula unit: 0.38
ρ in Mg/m³: 7.24
Magnetic moment in μB per cell: 1.1

Structure (POSCAR):
```
CePm6Dy
1.0
-4.768 2.038 -3.522
2.862 -4.745 -2.931
-3.484 -3.352 6.511
Pm Ce Dy
6 1 1
Cartesian
-1.922 -5.928 1.017 Pm
-2.198 -2.331 1.628 Pm
-3.192 -3.728 -1.568 Pm
0.346 -3.522 -0.662 Pm
-5.737 -2.537 0.722 Pm
-3.469 -0.131 -0.958 Pm
0.000 0.000 0.000 Ce
-0.953 -1.354 -3.226 Dy
```

[2]
Material: Ni2AsBr
Method: DFT, PBE-GGA
State: relaxed

Results
ρ in Mg/m³: 6.00
Magnetic moment in μB per cell: 0.0
Formation energy from raw total energies in eV per atom: -0.038

Structure (POSCAR):
```
Ni2AsBr
1.0
3.794 -0.073 0.114
2.212 3.083 0.114
1.839 0.922 6.427
Ni Br As
2 1 1
Cartesian
1.883 0.944 1.666 Ni
6.059 3.037 0.571 Ni
6.070 3.043 5.576 Br
3.761 1.885 2.400 As
```

[3]
Material: CeZrMn
Method: DFT, PBE-GGA
State: relaxed

Results
DFT formation energy in eV per formula unit: 0.43
ρ in Mg/m³: 7.63
Magnetic moment in μB per cell: 0.1

Structure (POSCAR):
```
CeZrMn
1.0
-0.032 -1.358 2.874
-1.368 -2.588 -1.239
6.264 -0.449 -1.901
Ce Mn Zr
1 1 1
Cartesian
0.332 -0.145 -0.065 Ce
1.242 -2.819 0.439 Mn
3.290 -1.432 -0.641 Zr
```

[4]
Material: Pr2Sb2O
Method: DFT, PBE-GGA
State: relaxed

Results
ρ in Mg/m³: 6.29
Magnetic moment in μB per cell: 0.0
Formation energy from raw total energies in eV per atom: -1.531

Structure (POSCAR):
```
Pr2Sb2O
1.0
-0.207 -2.699 -3.064
4.959 -3.119 2.413
-6.737 -4.905 7.504
Sb Pr O
4 4 2
Cartesian
1.259 -1.015 0.809 Sb
-4.011 -5.092 2.030 Sb
-2.916 -9.914 6.204 Sb
-0.233 -4.210 3.725 Sb
-2.005 -7.125 3.685 Pr
-5.069 -5.404 5.103 Pr
1.601 -4.386 1.028 Pr
-2.187 -2.210 2.095 Pr
2.735 -5.890 2.277 O
-2.911 -5.971 5.457 O
```

[5]
Material: SrLaB2W
Method: DFT, PBE-GGA
State: relaxed

Results
DFT formation energy in eV per formula unit: 5.45
ρ in Mg/m³: 7.00
Magnetic moment in μB per cell: 0.0

Structure (POSCAR):
```
SrLaB2W
1.0
-4.167 -1.042 1.255
-0.668 -2.586 -4.366
1.522 -3.718 1.970
La B W Sr
1 2 1 1
Cartesian
-1.656 -3.673 -0.571 La
-2.083 -0.521 0.627 B
0.761 -1.859 0.985 B
0.000 0.000 0.000 W
-0.334 -1.293 -2.183 Sr
```

[6]
Material: CdPtPb2
Method: DFT, PBE-GGA
State: relaxed

Results
DFT formation energy in eV per formula unit: 0.40
ρ in Mg/m³: 12.15
Magnetic moment in μB per cell: 0.0

Structure (POSCAR):
```
CdPtPb2
1.0
-3.292 1.071 1.516
1.447 -2.730 5.072
2.904 1.760 5.064
Pb Cd Pt
2 1 1
Cartesian
-0.922 -0.830 3.294 Pb
0.000 0.000 0.000 Pb
1.452 0.880 2.532 Cd
0.530 0.050 5.826 Pt
```

[7]
Material: GeSbMoW
Method: DFT, PBE-GGA
State: relaxed

Results
ρ in Mg/m³: 10.33
Magnetic moment in μB per cell: 0.0
Formation energy from raw total energies in eV per atom: 0.331

Structure (POSCAR):
```
GeSbMoW
1.0
-1.551 2.021 -1.814
-2.397 1.629 1.175
4.361 7.738 2.247
Ge Sb W Mo
1 1 1 1
Cartesian
2.219 7.026 0.578 Ge
-1.473 1.678 0.473 Sb
1.172 4.743 1.623 W
-1.340 4.568 0.889 Mo
```

[8]
Material: MgSc3Br
Method: DFT, PBE-GGA
State: relaxed

Results
ρ in Mg/m³: 3.13
Magnetic moment in μB per cell: 0.0
Formation energy from raw total energies in eV per atom: -0.072

Structure (POSCAR):
```
MgSc3Br
1.0
-4.742 -1.546 -0.605
1.629 -4.687 -0.789
-0.321 -0.941 4.925
Br Sc Mg
1 3 1
Cartesian
0.000 0.000 0.000 Br
0.814 -2.344 -0.395 Sc
-2.371 -0.773 -0.302 Sc
-0.161 -0.471 2.462 Sc
-1.717 -3.587 1.765 Mg
```

In the order shown, the computed VASP energy values come out to -4.83; -4.51; -7.74; -6.08; -5.49; -3.49; -7.80; -4.52 eV per atom.
In the order shown, the computed D(E_F) values come out to 15.3; 2.1; 5.6; 1.8; 4.1; 1.6; 2.0; 2.5 states/eV/f.u..